NiTe2Cl: relaxed, GGA-PBE.

Unit cell a=7.507 b=7.507 c=7.535 alpha=90.26 beta=90.26 gamma=149.01
Element x y z (fractional)
Ni 0.074 0.926 0.750
Ni 0.926 0.074 0.250
Te 0.164 0.300 0.599
Te 0.300 0.164 0.099
Te 0.700 0.836 0.901
Te 0.836 0.700 0.401
Cl 0.331 0.669 0.250
Cl 0.669 0.331 0.750

As for the total energy: -3.636 eV/atom.